## KNa3Cr (PBE)

Data for an optimized crystal structure of KNa3Cr.

The calculated total energy is -2.394 eV/atom. The calculation puts the energy above the most stable polymorph in this dataset at 0.0 meV/atom. The value obtained for the energy relative to the elements is 52.3 kJ per mole of atoms. For the density, the calculation gives 1.21 g/cm³.

The space group is Pm-3m (No. 221) and the conventional cell measures 6.0418, 6.0418 and 6.0418 Å, with angles of 90.00, 90.00 and 90.00 degrees. The asymmetric unit holds K at (0.0000, 0.0000, 0.0000), Na at (0.0000, 0.5000, 0.5000) and Cr at (0.5000, 0.5000, 0.5000).